Entry 1:
Material: AcTh2Re
Method: DFT, PBE
State: relaxed

```
AcTh2Re
1.0
-3.339 0.834 1.026
0.964 -0.371 3.439
2.340 8.981 0.313
Th Ac Re
2 1 1
Direct
0.000 0.000 0.189
0.000 0.000 0.811
0.500 0.500 0.500
0.500 0.500 0.000
```

SG   P4/mmm, No. 123
D(E_F)   1.74 states/eV per atom
Energy relative to the lowest polymorph listed for this composition   0 meV per atom

***

Entry 2:
Material: AcTh2Re
Method: DFT, PBE
State: relaxed

```
AcTh2Re
1.0
4.059 0.000 0.000
2.030 3.515 0.000
2.030 1.172 10.664
Th Re Ac
2 1 1
Direct
0.118 0.118 0.645
0.882 0.882 0.355
0.500 0.500 0.500
0.000 0.000 0.000
```

SG   R-3m, No. 166
D(E_F)   1.36 states/eV per atom
Energy relative to the lowest polymorph listed for this composition   209 meV per atom

***

Entry 3:
Material: Ac2ZnRe
Method: DFT, PBE
State: relaxed

```
Ac2ZnRe
1.0
-1.968 -2.834 -0.566
0.885 -2.270 -2.507
5.638 -7.305 6.170
Ac Zn Re
2 1 1
Direct
0.916 0.916 0.252
0.084 0.084 0.748
0.500 0.500 0.500
0.000 0.000 0.000
```

SG   R-3m, No. 166
D(E_F)   1.47 states/eV per atom

***

Entry 4:
Material: Ac5Rh3
Method: DFT, PBE
State: relaxed

```
Ac5Rh3
1.0
7.337 0.000 0.000
0.000 7.579 -4.375
0.000 0.000 8.751
Ac Rh
10 6
Direct
0.250 0.000 0.746
0.000 0.333 0.667
0.750 0.254 0.000
0.500 0.667 0.333
0.000 0.667 0.333
0.750 0.000 0.254
0.250 0.746 0.000
0.750 0.746 0.746
0.250 0.254 0.254
0.500 0.333 0.667
0.750 0.000 0.611
0.250 0.389 0.000
0.250 0.611 0.611
0.250 0.000 0.389
0.750 0.611 0.000
0.750 0.389 0.389
```

SG   P6_3/mcm, No. 193
D(E_F)   0.74 states/eV per atom

***

Entry 5:
Material: AcRh
Method: DFT, PBE
State: relaxed

```
AcRh
1.0
4.263 0.000 0.000
2.132 3.692 0.000
2.132 1.231 3.481
Rh Ac
1 1
Direct
0.000 0.000 0.000
0.500 0.500 0.500
```

SG   Fm-3m, No. 225
D(E_F)   0.36 states/eV per atom

***

Entry 6:
Material: AcRh
Method: DFT, PBE
State: relaxed

```
AcRh
1.0
4.095 0.000 -0.200
0.000 4.354 0.000
-1.755 0.000 5.954
Rh Ac
2 2
Direct
0.913 0.750 0.828
0.087 0.250 0.172
0.363 0.250 0.726
0.637 0.750 0.274
```

SG   P2_1/m, No. 11
D(E_F)   0.63 states/eV per atom

***

Entry 7:
Material: Ac4Rh
Method: DFT, PBE
State: relaxed

```
Ac4Rh
1.0
-2.907 -1.117 -5.041
4.972 -2.169 -2.386
-1.396 -5.400 2.001
Ac Rh
4 1
Direct
0.500 0.000 0.500
0.000 0.500 0.500
0.000 0.000 0.000
0.500 0.500 0.000
0.500 0.500 0.500
```

SG   Pm-3m, No. 221
D(E_F)   1.85 states/eV per atom
Energy relative to the lowest polymorph listed for this composition   61 meV per atom

***

Entry 8:
Material: Ac4Rh
Method: DFT, PBE
State: relaxed

```
Ac4Rh
1.0
8.021 -0.372 0.000
-3.434 7.258 0.000
-2.294 -3.443 7.280
Ac Rh
8 2
Direct
0.190 0.934 0.166
0.275 0.519 0.334
0.276 0.522 0.835
0.184 0.940 0.666
0.772 0.026 0.335
0.691 0.438 0.665
0.688 0.441 0.165
0.769 0.025 0.834
0.480 0.980 0.500
0.230 0.230 0.000
```

SG   Fdd2, No. 43
D(E_F)   1.43 states/eV per atom
Energy relative to the lowest polymorph listed for this composition   3 meV per atom

***

In eV per formula unit, the formation energy values for the records above are, in order, 0.6 1.5 4.4 -4.3 -1.2 -1.3 -1.1 -1.4.